Entry from Alexandria: crystalline InP2W at its relaxed geometry (PBE).

Cell: 4.416 4.416 5.382 Å, 95.39 95.39 42.90°
Positions (direct):
In 0.000 0.000 0.000
P 0.219 0.219 0.668
P 0.781 0.781 0.332
W 0.500 0.500 0.500

## Properties
Density of states at the Fermi level = 2.1 states/eV/cell
Space-group type = C2/m, No. 12

Entry from Alexandria: crystalline InP2W at its relaxed geometry (PBE).

Cell: 5.373 5.373 5.373 Å, 138.78 138.78 59.71°
Positions (direct):
In 0.000 0.000 0.000
P 0.250 0.750 0.500
P 0.500 0.500 0.000
W 0.750 0.250 0.500

## Properties
Density of states at the Fermi level = 3.3 states/eV/cell
Space-group type = I-4m2, No. 119

Entry from Alexandria: crystalline In3PW at its relaxed geometry (PBE).

Cell: 5.329 5.329 5.329 Å, 90.00 90.00 90.00°
Positions (direct):
In 0.000 0.000 0.500
In 0.000 0.500 0.000
In 0.500 0.000 0.000
P 0.500 0.500 0.500
W 0.000 0.000 0.000

## Properties
Density of states at the Fermi level = 5.0 states/eV/cell
Space-group type = Pm-3m, No. 221

Entry from Alexandria: crystalline InP2W at its relaxed geometry (PBE).

Cell: 2.922 2.922 9.498 Å, 90.00 90.00 108.23°
Positions (direct):
In 0.000 0.000 0.000
P 0.000 0.000 0.570
P 0.500 0.500 0.224
W 0.500 0.500 0.750

## Properties
Density of states at the Fermi level = 1.4 states/eV/cell
Space-group type = Cmm2, No. 35

Entry from Alexandria: crystalline InP2W at its relaxed geometry (PBE).

Cell: 4.513 4.513 3.233 Å, 91.30 91.30 99.95°
Positions (direct):
In 0.000 0.000 0.000
P 0.000 0.500 0.500
P 0.500 0.000 0.500
W 0.500 0.500 0.000

## Properties
Density of states at the Fermi level = 2.1 states/eV/cell
Space-group type = C2/m, No. 12

Entry from Alexandria: crystalline InP2W at its relaxed geometry (PBE).

Cell: 8.422 8.422 8.422 Å, 21.17 21.17 21.17°
Positions (direct):
In 0.000 0.000 0.000
P 0.234 0.234 0.234
P 0.498 0.498 0.498
W 0.763 0.763 0.763

## Properties
Density of states at the Fermi level = 1.9 states/eV/cell
Space-group type = R3m, No. 160

Entry from Alexandria: crystalline In3PW at its relaxed geometry (PBE).

Cell: 4.992 4.992 4.992 Å, 90.00 90.00 90.00°
Positions (direct):
In 0.000 0.000 0.500
In 0.000 0.500 0.000
In 0.500 0.000 0.000
P 0.000 0.000 0.000
W 0.500 0.500 0.500

## Properties
Density of states at the Fermi level = 4.8 states/eV/cell
Space-group type = Pm-3m, No. 221

Entry from Alexandria: crystalline InP2W at its relaxed geometry (PBE).

Cell: 4.967 4.967 5.071 Å, 114.87 114.87 39.09°
Positions (direct):
In 0.000 0.000 0.000
P 0.629 0.629 0.623
P 0.768 0.768 0.135
W 0.302 0.302 0.501

## Properties
Density of states at the Fermi level = 2.7 states/eV/cell
Space-group type = Cm, No. 8

Going through the records in order, we get DFT formation energy values of 197.3; 732.1; 1189.5; 558.9; 583.2; 350.1; 1447.6; 132.6 meV/atom.